{"formula": "LiHgGeF6", "functional": "PBE-GGA", "state": "optimized geometry", "formation_energy_uncorrected_ev_per_atom": -2.121, "space_group": "P-31c, No. 163", "lattice_angstrom": [[5.834, 0.000, 0.000], [-2.917, 5.052, 0.000], [0.000, 0.000, 8.483]], "species": ["Li", "Li", "Hg", "Hg", "Ge", "Ge", "F", "F", "F", "F", "F", "F", "F", "F", "F", "F", "F", "F"], "fractional_positions": [[0.000, 0.000, 0.000], [0.000, 0.000, 0.500], [0.333, 0.667, 0.250], [0.667, 0.333, 0.750], [0.333, 0.667, 0.750], [0.667, 0.333, 0.250], [0.097, 0.392, 0.622], [0.097, 0.704, 0.878], [0.296, 0.392, 0.878], [0.296, 0.903, 0.622], [0.392, 0.097, 0.122], [0.392, 0.296, 0.378], [0.608, 0.704, 0.622], [0.608, 0.903, 0.878], [0.704, 0.097, 0.378], [0.704, 0.608, 0.122], [0.903, 0.296, 0.122], [0.903, 0.608, 0.378]]}